Record 1
Here is crystalline LaPbSe2 at its relaxed geometry from Alexandria via LeMat-Bulk. Energies are from PBE-GGA.

Output
- density of states at the Fermi level (states/eV per atom) = 0.634
- electronic total energy (eV/atom) = -5.133
- ΔE_f (raw) (eV/atom) = -1.231

Cell: 4.3642 4.3642 6.2020 Å, 90.00 90.00 90.00°
Closest atoms and distances in Å follow each position.
Positions (direct):
Se1 0.5000 0.5000 0.3748  4 La 3.09, 2 Pb 3.10
Pb1 0.5000 0.5000 0.8749  6 Se 3.09-3.10
Se2 0.0000 0.0000 0.8752  4 Pb 3.09, 2 La 3.10
La1 0.0000 0.0000 0.3751  6 Se 3.09-3.10

***

Record 2
Here is crystalline Tb4Hg5Ir2 at its relaxed geometry from Alexandria via LeMat-Bulk. Energies are from PBE-GGA.

Output
- density of states at the Fermi level (states/eV per atom) = 0.539
- electronic total energy (eV/atom) = -3.988
- formation energy from the elements (eV/atom) = -0.56

Cell: 3.6536 7.7210 9.5572 Å, 94.93 90.00 90.00°
Closest atoms and distances in Å follow each position.
Positions (direct):
Tb1 0.5000 0.2144 0.4396  4 Ir 2.91-2.96
Ir1 0.0000 0.9206 0.3594  6 Tb 2.77-2.96, 1 Ir 2.86, 2 Hg 2.92-2.93
Tb2 0.5000 0.1802 0.8500  2 Ir 2.77
Hg1 0.0000 0.5000 0.0000  4 Hg 3.00-3.16, 4 Tb 3.30
Hg2 0.0000 0.4592 0.6679  1 Ir 2.92, 2 Hg 3.16-3.25
Tb3 0.5000 0.7856 0.5604  4 Ir 2.91-2.96
Hg3 0.0000 0.8309 0.8561  1 Ir 2.93, 2 Hg 3.00-3.25, 2 Tb 3.26
Tb4 0.5000 0.8198 0.1500  2 Ir 2.77
Hg4 0.0000 0.1691 0.1439  1 Ir 2.93, 2 Hg 3.00-3.25, 2 Tb 3.26
Ir2 0.0000 0.0794 0.6406  6 Tb 2.77-2.96, 1 Ir 2.86, 2 Hg 2.92-2.93
Hg5 0.0000 0.5408 0.3321  1 Ir 2.92, 2 Hg 3.16-3.25

***

Record 3
Here is crystalline ErCdIn6 at its relaxed geometry from Alexandria via LeMat-Bulk. Energies are from PBE-GGA.

Output
- density of states at the Fermi level (states/eV per atom) = 0.529
- electronic total energy (eV/atom) = -2.862
- formation energy from the elements (eV/atom) = -0.12

Cell: 4.6606 6.6341 6.6341 Å, 86.31 90.00 90.00°
Closest atoms and distances in Å follow each position.
Positions (direct):
In1 0.0000 0.7574 0.7574  8 In 3.25-3.32, 2 Er 3.31, 2 Cd 3.41
In2 0.5000 0.5000 0.0000  8 In 3.25-3.36, 2 Cd 3.32, 2 Er 3.32
In3 0.0000 0.7406 0.2594  2 Cd 3.19, 2 Er 3.31, 8 In 3.31-3.36
In4 0.0000 0.2426 0.2426  8 In 3.25-3.32, 2 Er 3.31, 2 Cd 3.41
In5 0.0000 0.2594 0.7406  2 Cd 3.19, 2 Er 3.31, 8 In 3.31-3.36
In6 0.5000 0.0000 0.5000  8 In 3.25-3.36, 2 Er 3.32, 2 Cd 3.32
Cd1 0.5000 0.5000 0.5000  12 In 3.19-3.41
Er1 0.5000 0.0000 0.0000  12 In 3.31-3.32

***

Record 4
Here is crystalline Hf2TeC at its relaxed geometry from Alexandria via LeMat-Bulk. Energies are from PBE-GGA.

Output
- density of states at the Fermi level (states/eV per atom) = 0.185
- electronic total energy (eV/atom) = -8.894
- ΔE_f (raw) (eV/atom) = -0.826

Cell: 3.5051 3.5051 6.9322 Å, 75.33 75.33 60.03°
Closest atoms and distances in Å follow each position.
Positions (direct):
Te1 0.5001 0.5001 0.4998  6 Hf 2.94-2.97
Hf1 0.0577 0.0577 0.8273  3 C 2.31
Hf2 0.2736 0.2736 0.1791  3 C 2.37
C1 0.6687 0.6687 0.9937  6 Hf 2.31-2.37

***

Record 5
Here is crystalline La4GaPS2 at its relaxed geometry from Alexandria via LeMat-Bulk. Energies are from PBE-GGA.

Output
- density of states at the Fermi level (states/eV per atom) = 0.505
- electronic total energy (eV/atom) = -6.127
- ΔE_f (raw) (eV/atom) = -1.577

Cell: 4.2086 7.4058 7.4438 Å, 70.96 90.00 90.00°
Closest atoms and distances in Å follow each position.
Positions (direct):
P1 0.0000 0.5000 0.5000  6 La 2.99-3.01
S1 0.0000 0.0000 0.0000  6 La 3.04
La1 0.0000 0.7569 0.7408  3 S 2.96-3.04, 1 P 3.01, 2 Ga 3.06
S2 0.5000 0.0000 0.5000  6 La 2.96-2.99
La2 0.5000 0.7489 0.2563  2 P 2.99, 3 S 2.99-3.04, 1 Ga 3.06
La3 0.0000 0.2431 0.2592  3 S 2.96-3.04, 1 P 3.01, 2 Ga 3.06
Ga1 0.5000 0.5000 0.0000  6 La 3.06
La4 0.5000 0.2511 0.7437  2 P 2.99, 3 S 2.99-3.04, 1 Ga 3.06

***

Record 6
Here is crystalline Ac2RhPb2 at its relaxed geometry from Alexandria via LeMat-Bulk. Energies are from PBE-GGA.

Output
- density of states at the Fermi level (states/eV per atom) = 0.863
- E above lowest polymorph (meV/atom) = 69.4
- electronic total energy (eV/atom) = -5.094
- formation energy from the elements (eV/atom) = -0.50

Cell: 4.9708 4.9708 13.4461 Å, 100.65 100.65 90.00°
Closest atoms and distances in Å follow each position.
Positions (direct):
Pb1 0.6715 0.6715 0.3431  2 Rh 3.21, 2 Pb 3.47, 4 Ac 3.54
Ac1 0.8113 0.8113 0.6225  2 Rh 2.95
Ac2 0.9387 0.4387 0.8775  2 Rh 2.95
Ac3 0.1887 0.1887 0.3775  2 Rh 2.95
Pb2 0.0785 0.5785 0.1569  2 Rh 3.21, 2 Pb 3.47, 4 Ac 3.54
Rh1 0.2500 0.7500 0.5000  4 Ac 2.95, 4 Pb 3.21
Pb3 0.4215 0.9215 0.8431  2 Rh 3.21, 2 Pb 3.47, 4 Ac 3.54
Ac4 0.5613 0.0613 0.1225  2 Rh 2.95
Pb4 0.3285 0.3285 0.6569  2 Rh 3.21, 2 Pb 3.47, 4 Ac 3.54
Rh2 0.5000 0.5000 0.0000  4 Ac 2.95, 4 Pb 3.21

***

Record 7
Here is crystalline Ca8Al2Zn at its relaxed geometry from Alexandria via LeMat-Bulk. Energies are from PBE-GGA.

Output
- density of states at the Fermi level (states/eV per atom) = 0.652
- E above lowest polymorph (meV/atom) = 0.0
- electronic total energy (eV/atom) = -2.393
- formation energy from the elements (eV/atom) = -0.14

Cell: 5.3405 7.4686 9.7888 Å, 108.97 105.83 90.00°
Closest atoms and distances in Å follow each position.
Positions (direct):
Zn1 0.5000 0.0000 0.0000  8 Ca 3.23-3.24
Ca1 0.5983 0.4477 0.1966  1 Zn 3.23, 2 Al 3.33, 4 Ca 3.57-3.59
Ca2 0.0262 0.7840 0.0524  1 Al 3.17, 2 Zn 3.24
Ca3 0.3350 0.0450 0.6701  3 Al 3.18-3.35, 1 Zn 3.24
Al1 0.1802 0.6987 0.3604  9 Ca 3.15-3.46
Ca4 0.2023 0.2994 0.4047  3 Al 3.15-3.46
Ca5 0.4017 0.5523 0.8034  1 Zn 3.23, 2 Al 3.33, 4 Ca 3.57-3.59
Al2 0.8198 0.3013 0.6396  9 Ca 3.15-3.46
Ca6 0.9738 0.2160 0.9476  1 Al 3.17, 2 Zn 3.24
Ca7 0.7977 0.7006 0.5953  3 Al 3.15-3.46
Ca8 0.6650 0.9550 0.3299  3 Al 3.18-3.35, 1 Zn 3.24

***

Record 8
Here is crystalline Cd3Ru at its relaxed geometry from Alexandria via LeMat-Bulk. Energies are from PBE-GGA.

Output
- density of states at the Fermi level (states/eV per atom) = 0.657
- electronic total energy (eV/atom) = -2.760
- formation energy from the elements (eV/atom) = 0.25

Cell: 3.0232 4.7697 5.2341 Å, 90.00 90.00 90.00°
Closest atoms and distances in Å follow each position.
Positions (direct):
Cd1 0.0000 0.0000 0.0160  2 Ru 2.90, 10 Cd 2.90-3.15
Cd2 0.5000 0.0000 0.4890  8 Cd 2.90-3.15, 4 Ru 2.94
Cd3 0.5000 0.5000 0.8306  8 Cd 2.98-3.02, 4 Ru 3.02
Ru1 0.0000 0.5000 0.3310  10 Cd 2.90-3.02, 2 Ru 3.02

***

Record 9
Here is crystalline CaTl2SbCl6 at its relaxed geometry from Alexandria via LeMat-Bulk. Energies are from PBE-GGA.

Output
- electronic total energy (eV/atom) = -3.380
- ΔE_f (raw) (eV/atom) = -1.186

Cell: 7.5575 7.5587 8.0661 Å, 62.02 62.02 90.00°
Closest atoms and distances in Å follow each position.
Positions (direct):
Cl1 0.2530 0.7472 0.0000  1 Sb 2.64, 1 Ca 2.70
Tl1 0.7502 0.2505 0.4992  12 Cl 3.79-4.04
Ca1 0.0000 0.0000 0.0000  6 Cl 2.69-2.70
Cl2 0.2226 0.2226 0.5550  1 Ca 2.69
Cl3 0.7774 0.7774 0.4450  1 Ca 2.69
Sb1 0.5000 0.5000 0.0000  4 Cl 2.64
Tl2 0.2498 0.7495 0.5008  12 Cl 3.79-4.04
Cl4 0.7473 0.7465 0.0004  1 Sb 2.64, 1 Ca 2.70
Cl5 0.2527 0.2535 0.9996  1 Sb 2.64, 1 Ca 2.70
Cl6 0.7470 0.2528 0.0000  1 Sb 2.64, 1 Ca 2.70

***

Record 10
Here is crystalline CrIrBr2 at its relaxed geometry from Alexandria via LeMat-Bulk. Energies are from PBE-GGA.

Output
- density of states at the Fermi level (states/eV per atom) = 1.368
- E above lowest polymorph (meV/atom) = 1182.1
- electronic total energy (eV/atom) = -4.259
- ΔE_f (raw) (eV/atom) = 1.198

Cell: 4.5433 4.5433 4.5433 Å, 60.00 60.00 60.00°
Closest atoms and distances in Å follow each position.
Positions (direct):
Br1 0.7500 0.7500 0.7500  4 Cr 2.78, 4 Ir 2.78
Ir1 0.5000 0.5000 0.5000  8 Br 2.78
Br2 0.2500 0.2500 0.2500  4 Cr 2.78, 4 Ir 2.78
Cr1 0.0000 0.0000 0.0000  8 Br 2.78

***

Record 11
Here is crystalline NdEr2Cu6 at its relaxed geometry from Alexandria via LeMat-Bulk. Energies are from PBE-GGA.

Output
- density of states at the Fermi level (states/eV per atom) = 0.549
- electronic total energy (eV/atom) = -4.515
- formation energy from the elements (eV/atom) = -0.24

Cell: 3.6034 7.3354 7.3354 Å, 120.00 90.00 90.00°
Closest atoms and distances in Å follow each position.
Positions (direct):
Cu1 0.5000 0.0000 0.3362  3 Cu 2.40-2.47
Er1 0.0000 0.3333 0.6667  12 Cu 3.03
Cu2 0.5000 0.3362 0.0000  3 Cu 2.40-2.47
Nd1 0.0000 0.0000 0.0000  12 Cu 3.05
Cu3 0.5000 0.0000 0.6638  3 Cu 2.40-2.47
Cu4 0.5000 0.3362 0.3362  3 Cu 2.40-2.47
Cu5 0.5000 0.6638 0.6638  3 Cu 2.40-2.47
Er2 0.0000 0.6667 0.3333  12 Cu 3.03
Cu6 0.5000 0.6638 0.0000  3 Cu 2.40-2.47

***

Record 12
Here is crystalline Be4Os at its relaxed geometry from Alexandria via LeMat-Bulk. Energies are from PBE-GGA.

Output
- density of states at the Fermi level (states/eV per atom) = 0.054
- E above lowest polymorph (meV/atom) = 41.2
- electronic total energy (eV/atom) = -5.421
- formation energy from the elements (eV/atom) = -0.19

Cell: 4.2255 4.2255 4.2255 Å, 97.69 97.69 137.08°
Closest atoms and distances in Å follow each position.
Positions (direct):
Be1 0.2037 0.6092 0.8130  8 Be 2.26-2.48, 3 Os 2.34-2.45
Be2 0.3908 0.2037 0.5945  8 Be 2.26-2.48, 3 Os 2.34-2.45
Be3 0.6092 0.7963 0.4055  8 Be 2.26-2.48, 3 Os 2.34-2.45
Os1 0.0000 0.0000 0.0000  12 Be 2.34-2.45
Be4 0.7963 0.3908 0.1870  8 Be 2.26-2.48, 3 Os 2.34-2.45

***

Record 13
Here is crystalline GeTeCl3 at its relaxed geometry from Alexandria via LeMat-Bulk. Energies are from PBE-GGA.

Output
- density of states at the Fermi level (states/eV per atom) = 0.457
- E above lowest polymorph (meV/atom) = 0.0
- electronic total energy (eV/atom) = -2.839
- ΔE_f (raw) (eV/atom) = -0.179

Cell: 5.2387 5.2387 5.2387 Å, 90.00 90.00 90.00°
Closest atoms and distances in Å follow each position.
Positions (direct):
Te1 0.5000 0.5000 0.5000  12 Cl 3.70
Ge1 0.0000 0.0000 0.0000  6 Cl 2.62
Cl1 0.0000 0.5000 0.0000  2 Ge 2.62
Cl2 0.0000 0.0000 0.5000  2 Ge 2.62
Cl3 0.5000 0.0000 0.0000  2 Ge 2.62